Entry 1:
First-principles (PBE) data for an optimized crystal structure of Li3IN, as listed in the Alexandria database.

extended XYZ file:
```
10
Lattice="-2.117 0.628 2.963 -6.176 -0.487 -4.309 2.185 -7.134 0.769" Properties=species:S:1:pos:R:3 pbc="T T T"
I -4.947 -1.989 -3.113
I -1.161 -5.004 2.536
Li -3.412 -4.015 0.718
Li -1.317 -2.266 1.844
Li -1.297 -1.286 -0.654
Li -4.810 -5.707 0.077
Li -4.791 -4.727 -2.421
Li -2.696 -2.978 -1.295
N -2.869 -2.014 0.681
N -3.238 -4.979 -1.259
```

Computed properties:
Polymorph energy (0 for the lowest one), meV per atom: 109

=====

Entry 2:
First-principles (PBE) data for an optimized crystal structure of SrAlOs2, as listed in the Alexandria database.

extended XYZ file:
```
4
Lattice="-1.193 5.073 -1.855 -3.669 -2.120 3.556 0.327 1.600 2.277" Properties=species:S:1:pos:R:3 pbc="T T T"
Sr -0.433 3.337 0.211
Al -1.671 -0.260 2.916
Os -2.431 1.476 0.850
Os 0.000 0.000 0.000
```

Computed properties:
Formation enthalpy at 0 K, eV per atom: 0.80

=====

Entry 3:
First-principles (PBE) data for an optimized crystal structure of MnBiAuN, as listed in the Alexandria database.

extended XYZ file:
```
4
Lattice="-1.823 2.076 1.481 -2.808 -0.877 1.081 1.809 -1.674 7.836" Properties=species:S:1:pos:R:3 pbc="T T T"
Mn -3.431 0.033 6.338
Au 0.591 -1.340 6.575
Bi -1.821 1.646 2.750
N -1.993 -0.300 5.256
```

Computed properties:
Polymorph energy (0 for the lowest one), meV per atom: 0

=====

Entry 4:
First-principles (PBE) data for an optimized crystal structure of HoPuNi, as listed in the Alexandria database.

extended XYZ file:
```
3
Lattice="3.368 0.000 0.000 0.000 3.368 0.000 -1.684 -1.684 5.997" Properties=species:S:1:pos:R:3 pbc="T T T"
Pu 0.000 0.000 0.340
Ho 0.000 0.000 3.601
Ni 1.684 1.684 2.057
```

Computed properties:
Polymorph energy (0 for the lowest one), meV per atom: 0
Formation enthalpy at 0 K, eV per atom: -0.08

=====

| no. | M_tot (μB/f.u.) | Fermi-level density of states (states/eV per atom) |
| --- | --- | --- |
| 1 | 1.00 | 0.102 |
| 2 | 0.00 | 0.931 |
| 3 | 0.00 | 0.334 |
| 4 | 6.11 | 3.058 |